The following is a DFT calculation (GGA-PBE) of a relaxed structure of Zr2TlAg.

Unit cell a=6.1260 b=8.7499 c=3.2044 alpha=90.00 beta=90.13 gamma=90.00
With the nearest neighbours (Å) after each atom.
Space group C2/m (No. 12)
One atom of each set of equivalent atoms:
Zr 0.2500 0.2500 0.0000  4 Zr 3.06-3.20, 4 Tl 3.11-3.12, 4 Ag 3.11-3.12
Tl 0.0000 0.0000 0.5000  2 Ag 3.06, 8 Zr 3.11-3.12, 2 Tl 3.20
Ag 0.0000 0.5000 0.5000  2 Tl 3.06, 8 Zr 3.11-3.12, 2 Ag 3.20

Properties
- Fermi-level density of states: 0.980 states/eV/atom
- Magnetic moment: 0.0 Bohr magnetons per cell
- Formation energy: -0.05 eV per atom
- Crystal system: monoclinic